--- i ---
A relaxed TaAl2Br crystal, computed with GGA-PBE.

Output
Space-group type   Cmm2, No. 35

abc: 3.010 3.010 10.151
angles: 90.00 90.00 110.92
Fractional positions:
Ta: 0.500 0.500 0.761
Al: 0.000 0.000 0.978
Al: 0.500 0.500 0.197
Br: 0.000 0.000 0.563


--- ii ---
A relaxed TaAl2Br crystal, computed with GGA-PBE.

Output
Space-group type   I4/mmm, No. 139

abc: 5.293 5.293 5.293
angles: 135.22 135.22 65.19
Fractional positions:
Al: 0.000 0.000 0.000
Al: 0.500 0.500 0.000
Br: 0.250 0.750 0.500
Ta: 0.750 0.250 0.500


Stability summary: most stable i, least stable ii.


--- i ---
A relaxed TaAlBr3 crystal, computed with GGA-PBE.

Output
Space-group type   Pm-3m, No. 221

abc: 5.223 5.223 5.223
angles: 90.00 90.00 90.00
Fractional positions:
Br: 0.000 0.000 0.500
Al: 0.500 0.500 0.500
Br: 0.500 0.000 0.000
Ta: 0.000 0.000 0.000
Br: 0.000 0.500 0.000


--- ii ---
A relaxed TaAlBr3 crystal, computed with GGA-PBE.

Output
Space-group type   Pm-3m, No. 221

abc: 5.183 5.183 5.183
angles: 90.00 90.00 90.00
Fractional positions:
Br: 0.000 0.500 0.000
Ta: 0.500 0.500 0.500
Br: 0.500 0.000 0.000
Al: 0.000 0.000 0.000
Br: 0.000 0.000 0.500


Stability summary: most stable i, least stable ii.


--- i ---
A relaxed Tb2AlBr crystal, computed with GGA-PBE.

Output
Space-group type   P4/mmm, No. 123

abc: 3.453 3.453 8.369
angles: 90.00 90.00 90.00
Fractional positions:
Br: 0.500 0.500 0.500
Al: 0.500 0.500 0.000
Tb: 0.000 0.000 0.227
Tb: 0.000 0.000 0.773


--- ii ---
A relaxed Tb2AlBr crystal, computed with GGA-PBE.

Output
Space-group type   R3m, No. 160

abc: 3.680 3.680 9.067
angles: 78.29 78.29 60.00
Fractional positions:
Br: 0.499 0.499 0.503
Al: 0.667 0.667 0.999
Tb: 0.253 0.253 0.240
Tb: 0.081 0.081 0.758


Stability summary: most stable ii, least stable i.